DFT (PBE) results for a relaxed K4Ho3OsO8 crystal.

Results
Its crystal system is trigonal. Its mass density is 6.56 Mg/m³. The total energy comes out at -313.86 eV/cell.

Cell: 6.7519 6.7519 18.6336 Å, 90.00 90.00 120.00°
Space group R-3m (No. 166, hexagonal axes)
Symmetry-distinct sites (fractional):
K1 0.0000 0.0000 0.0000 (multiplicity 3)
K2 0.0000 0.5000 0.0000 (multiplicity 9)
Ho1 0.0000 0.5000 0.5000 (multiplicity 9)
Os1 0.0000 0.0000 0.5000 (multiplicity 3)
O1 0.0000 0.0000 0.2287 (multiplicity 6)
O2 0.0117 0.5058 0.2288 (multiplicity 18)